1.
Compound: TbNpAlO6
Source: Alexandria
Functional: PBE-GGA
Structure: optimized geometry Values from VASP.

```
&SYSTEM
  ibrav = 0, nat = 18, ntyp = 4
/
ATOMIC_SPECIES
Tb 158.93 Tb.upf
Np 237.00 Np.upf
Al 26.98 Al.upf
O 16.00 O.upf
CELL_PARAMETERS angstrom
5.249 0.000 0.000
-2.624 4.546 0.000
0.000 0.000 9.869
ATOMIC_POSITIONS crystal
Tb 0.000 0.000 0.000
Tb 0.000 0.000 0.500
Np 0.333 0.667 0.250
Np 0.667 0.333 0.750
Al 0.333 0.667 0.750
Al 0.667 0.333 0.250
O 0.019 0.365 0.641
O 0.019 0.654 0.859
O 0.346 0.365 0.859
O 0.346 0.981 0.641
O 0.365 0.019 0.141
O 0.365 0.346 0.359
O 0.635 0.654 0.641
O 0.635 0.981 0.859
O 0.654 0.019 0.359
O 0.654 0.635 0.141
O 0.981 0.346 0.141
O 0.981 0.635 0.359
```

Values from the calculation:
For the uncorrected formation energy, the calculation gives -3.033 eV/atom. As for the calculated density: 7.32 g/cm³. As for the space group: P-31c (163). For the total energy, the calculation gives -8.707 eV per atom.

---

2.
Compound: NpAl2TlO8
Source: Alexandria
Functional: PBE-GGA
Structure: optimized geometry Values from VASP.

```
&SYSTEM
  ibrav = 0, nat = 12, ntyp = 4
/
ATOMIC_SPECIES
Np 237.00 Np.upf
Al 26.98 Al.upf
Tl 204.38 Tl.upf
O 16.00 O.upf
CELL_PARAMETERS angstrom
3.399 -3.212 0.000
3.399 3.212 0.000
-0.650 0.000 6.758
ATOMIC_POSITIONS crystal
Np 0.000 0.000 0.000
Al 0.466 0.466 0.293
Al 0.534 0.534 0.707
Tl 0.000 0.000 0.500
O 0.221 0.774 0.226
O 0.226 0.779 0.774
O 0.282 0.282 0.050
O 0.321 0.321 0.506
O 0.679 0.679 0.494
O 0.718 0.718 0.950
O 0.774 0.221 0.226
O 0.779 0.226 0.774
```

Values from the calculation:
For the uncorrected formation energy, the calculation gives -2.185 eV/atom. As for the calculated density: 7.02 g/cm³. As for the space group: C2/m (12). For the total energy, the calculation gives -7.390 eV per atom.